A relaxed structure of HfMn2TlO6, computed with PBE+U.

The structure in CIF format:
```
data_HfMn2TlO6
_chemical_formula_sum 'Hf1 Mn2 Tl1 O6'
_cell_length_a 5.370
_cell_length_b 5.434
_cell_length_c 5.762
_cell_angle_alpha 62.60
_cell_angle_beta 89.79
_cell_angle_gamma 61.50
_symmetry_space_group_name_H-M 'P 1'
_symmetry_Int_Tables_number 1
loop_
_symmetry_equiv_pos_as_xyz
'x,y,z'
loop_
_atom_site_label
_atom_site_type_symbol
_atom_site_fract_x
_atom_site_fract_y
_atom_site_fract_z
_atom_site_occupancy
Hf1 Hf 0.000 0.000 0.000 1
Mn1 Mn 0.212 0.572 0.636 1
Mn2 Mn 0.699 0.596 0.094 1
Tl1 Tl 0.486 0.028 0.457 1
O1 O 0.077 0.081 0.308 1
O2 O 0.278 0.102 0.801 1
O3 O 0.411 0.527 0.289 1
O4 O 0.621 0.456 0.845 1
O5 O 0.815 0.756 0.294 1
O6 O 0.903 0.779 0.832 1
```

Output
**Calculated volume**: 12.6 Å³/atom
**Uncorrected energy**: -76.170 eV/cell